No. 1
The following is a DFT calculation (GGA-PBE) of an optimized crystal structure of Fe7Pd6.

Cell: 7.9680 9.1258 4.8585 Å, 90.00 90.00 90.00°
Element x y z (fractional)
Fe (0.5000, 0.0000, 0.0000)
Fe (0.9108, 0.2427, 0.0000)
Fe (0.4108, 0.2573, 0.0000)
Fe (0.0000, 0.5000, 0.0000)
Fe (0.5892, 0.7427, 0.0000)
Fe (0.0892, 0.7573, 0.0000)
Fe (0.6594, 0.1850, 0.2538)
Fe (0.1594, 0.3150, 0.2538)
Fe (0.8406, 0.6850, 0.2538)
Fe (0.3406, 0.8150, 0.2538)
Fe (0.6594, 0.1850, 0.7462)
Fe (0.1594, 0.3150, 0.7462)
Fe (0.8406, 0.6850, 0.7462)
Fe (0.3406, 0.8150, 0.7462)
Pd (0.1672, 0.0456, 0.0000)
Pd (0.6672, 0.4544, 0.0000)
Pd (0.3328, 0.5456, 0.0000)
Pd (0.8328, 0.9544, 0.0000)
Pd (0.3490, 0.0830, 0.5000)
Pd (0.9497, 0.1317, 0.5000)
Pd (0.4497, 0.3683, 0.5000)
Pd (0.8490, 0.4170, 0.5000)
Pd (0.1510, 0.5830, 0.5000)
Pd (0.5503, 0.6317, 0.5000)
Pd (0.0503, 0.8683, 0.5000)
Pd (0.6510, 0.9170, 0.5000)

Computed properties:
Formation energy in meV per atom: -38
Crystal system: orthorhombic


No. 2
The following is a DFT calculation (GGA-PBE) of an optimized crystal structure of Cd2AgAu.

Cell: 4.7743 4.7743 4.7743 Å, 60.00 60.00 60.00°
Element x y z (fractional)
Ag (0.7500, 0.7500, 0.7500)
Au (0.0000, 0.0000, 0.0000)
Cd (0.2500, 0.2500, 0.2500)
Cd (0.5000, 0.5000, 0.5000)

Computed properties:
Formation energy in meV per atom: -94
Crystal system: cubic